KHo2CuMo4O16 | SCAN | PBEsol geometry

Cell lengths 5.170, 6.715, 19.367 Å; angles 88.41, 85.86, 67.36 degrees
Site moments in Bohr magnetons follow the coordinates.
Fractional positions:
K 0.968 0.064 0.750  0.00
K 0.032 0.936 0.250  0.00
Ho 0.852 0.293 0.969  0.00
Ho 0.854 0.293 0.531  0.00
Ho 0.148 0.707 0.031  0.00
Ho 0.146 0.707 0.469  0.00
Cu 0.686 0.628 0.750  0.06
Cu 0.314 0.372 0.250  0.06
Mo 0.583 0.876 0.908  0.00
Mo 0.541 0.876 0.592  0.00
Mo 0.417 0.124 0.092  0.00
Mo 0.459 0.124 0.408  0.00
Mo 0.267 0.490 0.854  0.00
Mo 0.243 0.490 0.646  0.00
Mo 0.733 0.510 0.146  0.00
Mo 0.757 0.510 0.354  0.00
O 0.050 0.527 0.567  0.00
O 0.424 0.527 0.933  0.00
O 0.950 0.473 0.433  0.00
O 0.576 0.473 0.067  0.00
O 0.497 0.338 0.459  0.00
O 0.166 0.338 0.041  0.00
O 0.503 0.662 0.541  0.00
O 0.834 0.662 0.959  0.00
O 0.219 0.039 0.463  0.00
O 0.742 0.039 0.037  0.00
O 0.781 0.961 0.537  0.00
O 0.258 0.961 0.963  0.00
O 0.261 0.733 0.668  0.00
O 0.005 0.733 0.832  0.00
O 0.739 0.267 0.332  0.00
O 0.995 0.267 0.168  0.00
O 0.307 0.176 0.328  0.00
O 0.517 0.176 0.172  0.00
O 0.693 0.824 0.672  0.00
O 0.483 0.824 0.828  0.00
O 0.062 0.415 0.715  0.00
O 0.524 0.415 0.785  0.00
O 0.938 0.585 0.285  0.00
O 0.476 0.585 0.215  0.00
O 0.223 0.103 0.601  0.00
O 0.675 0.103 0.899  0.00
O 0.777 0.897 0.399  0.00
O 0.325 0.897 0.101  0.00
O 0.597 0.305 0.630  0.00
O 0.098 0.305 0.870  0.00
O 0.403 0.695 0.370  0.00
O 0.902 0.695 0.130  0.00

Summary:
**Space group**: C2/c, No. 15
**Raw formation energy**: -2511 meV/atom